The following is a PBE calculation of crystalline CsCaO3 at its relaxed geometry, from the Alexandria database.

a = 4.4709 Å, b = 4.4709 Å, c = 4.4709 Å
α = 90.00°, β = 90.00°, γ = 90.00°
Positions (direct):
Cs (0.0000, 0.0000, 0.0000)
Ca (0.5000, 0.5000, 0.5000)
O (0.0000, 0.0000, 0.5000)
O (0.0000, 0.5000, 0.0000)
O (0.5000, 0.0000, 0.0000)

space group = Pm-3m (221)
ΔE_f (raw) = -1.9 eV/f.u.
magnetic moment = 0.00 μB per formula unit



The following is a PBE calculation of crystalline CsCa10P7O28 at its relaxed geometry, from the Alexandria database.

a = 13.9060 Å, b = 13.9060 Å, c = 13.9060 Å
α = 45.38°, β = 45.38°, γ = 45.38°
Positions (direct):
Cs (0.0000, 0.0000, 0.0000)
Cs (0.5000, 0.5000, 0.5000)
Ca (0.0201, 0.6180, 0.6040)
Ca (0.1040, 0.1180, 0.5201)
Ca (0.1088, 0.7315, 0.7190)
Ca (0.1180, 0.5201, 0.1040)
Ca (0.1789, 0.1789, 0.1789)
Ca (0.2190, 0.2315, 0.6088)
Ca (0.2315, 0.6088, 0.2190)
Ca (0.2343, 0.8369, 0.2608)
Ca (0.2608, 0.2343, 0.8369)
Ca (0.3369, 0.7343, 0.7608)
Ca (0.5201, 0.1040, 0.1180)
Ca (0.6040, 0.0201, 0.6180)
Ca (0.6088, 0.2190, 0.2315)
Ca (0.6180, 0.6040, 0.0201)
Ca (0.6789, 0.6789, 0.6789)
Ca (0.7190, 0.1088, 0.7315)
Ca (0.7315, 0.7190, 0.1088)
Ca (0.7343, 0.7608, 0.3369)
Ca (0.7608, 0.3369, 0.7343)
Ca (0.8369, 0.2608, 0.2343)
P (0.3659, 0.8686, 0.3975)
P (0.3686, 0.8659, 0.8975)
P (0.3975, 0.3659, 0.8686)
P (0.4091, 0.4091, 0.4091)
P (0.4582, 0.9916, 0.4892)
P (0.4892, 0.4582, 0.9916)
P (0.4916, 0.9582, 0.9892)
P (0.8659, 0.8975, 0.3686)
P (0.8686, 0.3975, 0.3659)
P (0.8975, 0.3686, 0.8659)
P (0.9091, 0.9091, 0.9091)
P (0.9582, 0.9892, 0.4916)
P (0.9892, 0.4916, 0.9582)
P (0.9916, 0.4892, 0.4582)
O (0.0156, 0.5553, 0.9917)
O (0.0220, 0.8192, 0.5503)
O (0.0334, 0.0555, 0.3184)
O (0.0376, 0.8333, 0.3010)
O (0.0422, 0.3165, 0.3080)
O (0.0422, 0.5693, 0.2872)
O (0.0503, 0.3192, 0.5220)
O (0.0555, 0.3184, 0.0334)
O (0.0553, 0.5156, 0.4917)
O (0.0669, 0.3292, 0.7878)
O (0.0693, 0.5422, 0.7872)
O (0.0686, 0.7934, 0.9033)
O (0.2872, 0.0422, 0.5693)
O (0.2878, 0.8292, 0.5669)
O (0.2934, 0.5686, 0.4033)
O (0.3010, 0.0376, 0.8333)
O (0.3080, 0.0422, 0.3165)
O (0.3144, 0.8192, 0.8756)
O (0.3165, 0.3080, 0.0422)
O (0.3184, 0.0334, 0.0555)
O (0.3192, 0.5220, 0.0503)
O (0.3192, 0.8144, 0.3756)
O (0.3292, 0.7878, 0.0669)
O (0.3333, 0.5376, 0.8010)
O (0.3671, 0.3671, 0.3671)
O (0.3756, 0.3192, 0.8144)
O (0.4033, 0.2934, 0.5686)
O (0.4917, 0.0553, 0.5156)
O (0.5156, 0.4917, 0.0553)
O (0.5220, 0.0503, 0.3192)
O (0.5334, 0.8184, 0.5555)
O (0.5376, 0.8010, 0.3333)
O (0.5422, 0.7872, 0.0693)
O (0.5422, 0.8080, 0.8165)
O (0.5503, 0.0220, 0.8192)
O (0.5555, 0.5334, 0.8184)
O (0.5553, 0.9917, 0.0156)
O (0.5669, 0.2878, 0.8292)
O (0.5693, 0.2872, 0.0422)
O (0.5686, 0.4033, 0.2934)
O (0.7872, 0.0693, 0.5422)
O (0.7878, 0.0669, 0.3292)
O (0.7934, 0.9033, 0.0686)
O (0.8010, 0.3333, 0.5376)
O (0.8080, 0.8165, 0.5422)
O (0.8144, 0.3756, 0.3192)
O (0.8165, 0.5422, 0.8080)
O (0.8184, 0.5555, 0.5334)
O (0.8192, 0.5503, 0.0220)
O (0.8192, 0.8756, 0.3144)
O (0.8292, 0.5669, 0.2878)
O (0.8333, 0.3010, 0.0376)
O (0.8671, 0.8671, 0.8671)
O (0.8756, 0.3144, 0.8192)
O (0.9033, 0.0686, 0.7934)
O (0.9917, 0.0156, 0.5553)

space group = R3c (161)
ΔE_f (raw) = -131.6 eV/f.u.
magnetic moment = 0.00 μB per formula unit



The following is a PBE calculation of crystalline CsCaP2O6 at its relaxed geometry, from the Alexandria database.

a = 7.2706 Å, b = 7.2706 Å, c = 6.1497 Å
α = 100.93°, β = 100.93°, γ = 89.11°
Positions (direct):
Cs (0.1937, 0.8063, 0.7500)
Cs (0.8063, 0.1937, 0.2500)
Ca (0.3838, 0.6162, 0.2500)
Ca (0.6162, 0.3838, 0.7500)
P (0.1487, 0.2905, 0.7920)
P (0.2905, 0.1487, 0.2920)
P (0.7095, 0.8513, 0.7080)
P (0.8513, 0.7095, 0.2080)
O (0.0476, 0.6282, 0.2433)
O (0.1571, 0.1842, 0.0621)
O (0.1842, 0.1571, 0.5621)
O (0.3147, 0.4348, 0.8768)
O (0.3718, 0.9524, 0.2567)
O (0.4348, 0.3147, 0.3768)
O (0.5652, 0.6853, 0.6232)
O (0.6282, 0.0476, 0.7433)
O (0.6853, 0.5652, 0.1232)
O (0.8158, 0.8429, 0.4379)
O (0.8429, 0.8158, 0.9379)
O (0.9524, 0.3718, 0.7567)

space group = C2/c (15)
ΔE_f (raw) = -21.9 eV/f.u.
magnetic moment = 0.47 μB per formula unit



The following is a PBE calculation of crystalline Cs2CaPaO4 at its relaxed geometry, from the Alexandria database.

a = 6.2299 Å, b = 3.6598 Å, c = 7.3058 Å
α = 90.00°, β = 106.75°, γ = 90.00°
Positions (direct):
Cs (0.0000, 0.0000, 0.0000)
Cs (0.5000, 0.5000, 0.0000)
Ca (0.0000, 0.5000, 0.5000)
Pa (0.5000, 0.0000, 0.5000)
O (0.2480, 0.0000, 0.6513)
O (0.3005, 0.5000, 0.3410)
O (0.6995, 0.5000, 0.6590)
O (0.7520, 0.0000, 0.3487)

space group = P2/m (10)
ΔE_f (raw) = -20.1 eV/f.u.
magnetic moment = 0.57 μB per formula unit



The following is a PBE calculation of crystalline Cs3CaPa2O9 at its relaxed geometry, from the Alexandria database.

a = 6.3972 Å, b = 6.3972 Å, c = 7.8276 Å
α = 90.00°, β = 90.00°, γ = 120.00°
Positions (direct):
Cs (0.0000, 0.0000, 0.0000)
Cs (0.3333, 0.6667, 0.6598)
Cs (0.6667, 0.3333, 0.3402)
Ca (0.0000, 0.0000, 0.5000)
Pa (0.3333, 0.6667, 0.1660)
Pa (0.6667, 0.3333, 0.8340)
O (0.0000, 0.5000, 0.0000)
O (0.1785, 0.3569, 0.3179)
O (0.1785, 0.8215, 0.3179)
O (0.3569, 0.1785, 0.6821)
O (0.5000, 0.0000, 0.0000)
O (0.5000, 0.5000, 0.0000)
O (0.6431, 0.8215, 0.3179)
O (0.8215, 0.1785, 0.6821)
O (0.8215, 0.6431, 0.6821)

space group = P-3m1 (164)
ΔE_f (raw) = -36.9 eV/f.u.
magnetic moment = 3.12 μB per formula unit



The following is a PBE calculation of crystalline Cs4CaPa3O12 at its relaxed geometry, from the Alexandria database.

a = 7.8267 Å, b = 7.8267 Å, c = 7.8267 Å
α = 109.47°, β = 109.47°, γ = 109.47°
Positions (direct):
Cs (0.0000, 0.0000, 0.5000)
Cs (0.0000, 0.5000, 0.0000)
Cs (0.5000, 0.0000, 0.0000)
Cs (0.5000, 0.5000, 0.5000)
Ca (0.0000, 0.0000, 0.0000)
Pa (0.0000, 0.5000, 0.5000)
Pa (0.5000, 0.0000, 0.5000)
Pa (0.5000, 0.5000, 0.0000)
O (0.0000, 0.2740, 0.2740)
O (0.0000, 0.7260, 0.7260)
O (0.2500, 0.5000, 0.7500)
O (0.2500, 0.7500, 0.5000)
O (0.2740, 0.0000, 0.2740)
O (0.2740, 0.2740, 0.0000)
O (0.5000, 0.2500, 0.7500)
O (0.5000, 0.7500, 0.2500)
O (0.7260, 0.0000, 0.7260)
O (0.7260, 0.7260, 0.0000)
O (0.7500, 0.2500, 0.5000)
O (0.7500, 0.5000, 0.2500)

space group = Im-3m (229)
ΔE_f (raw) = -52.5 eV/f.u.
magnetic moment = 3.02 μB per formula unit